This record from the Open Quantum Materials Database describes SrRePd after structural relaxation. The functional is GGA-PBE.

- crystal system = cubic
- space group = F-43m
- total DFT energy (no corrections) (eV per atom) = -5.35

Unit cell a=4.745 b=4.745 c=4.745 alpha=60.00 beta=60.00 gamma=60.00
Fractional coordinates of all 3 atoms:
Re 0.250 0.250 0.250
Pd 0.000 0.000 0.000
Sr 0.750 0.750 0.750